! GGA-PBE AcZnAs2O8, optimized geometry; values from VASP
! Symmetry: No. 119
! DOS(E_F): 8.78 states/eV/cell
! Uncorrected energy: -0.446 Ry/atom
! Formation energy without anion corrections: -1544 meV/atom
&SYSTEM
  ibrav = 0, nat = 12, ntyp = 4
/
ATOMIC_SPECIES
As 74.92 As.upf
O 16.00 O.upf
Zn 65.41 Zn.upf
Ac 227.00 Ac.upf
ATOMIC_POSITIONS crystal
As 0.5000 0.5000 0.0000
As 0.7500 0.2500 0.5000
O 0.3380 0.5238 0.1858
O 0.4002 0.0712 0.3290
O 0.9288 0.2578 0.3290
O 0.7422 0.0712 0.6710
O 0.8478 0.6620 0.1858
O 0.3380 0.1522 0.8142
O 0.9288 0.5998 0.6710
O 0.4762 0.6620 0.8142
Zn 0.2500 0.7500 0.5000
Ac 0.0000 0.0000 0.0000
CELL_PARAMETERS angstrom
6.1598 0.0121 0.0000
-2.7212 5.5262 0.0000
-1.7193 -2.7692 5.2268

=====

! GGA-PBE CaSb2Pb2, optimized geometry; values from VASP
! Symmetry: No. 139
! DOS(E_F): 3.05 states/eV/cell
! Uncorrected energy: -0.261 Ry/atom
! Formation energy without anion corrections: -14 meV/atom
&SYSTEM
  ibrav = 0, nat = 5, ntyp = 3
/
ATOMIC_SPECIES
Ca 40.08 Ca.upf
Sb 121.76 Sb.upf
Pb 207.20 Pb.upf
ATOMIC_POSITIONS crystal
Ca 0.0000 0.0000 0.0000
Sb 0.2500 0.7500 0.5000
Sb 0.7500 0.2500 0.5000
Pb 0.4028 0.4028 0.1944
Pb 0.5972 0.5972 0.8056
CELL_PARAMETERS angstrom
4.4344 0.0000 0.0000
0.0000 4.4344 0.0000
2.2172 2.2172 8.3319

=====

! GGA-PBE Al2Cu3Pd, optimized geometry; values from VASP
! Symmetry: No. 15
! DOS(E_F): 2.19 states/eV/cell
! DFT formation energy: -380 meV/atom
! Uncorrected energy: -0.334 Ry/atom
! Polymorph energy (0 for the lowest one): 0.00 kcal/mol of atoms
&SYSTEM
  ibrav = 0, nat = 12, ntyp = 3
/
ATOMIC_SPECIES
Al 26.98 Al.upf
Pd 106.42 Pd.upf
Cu 63.55 Cu.upf
ATOMIC_POSITIONS crystal
Al 0.1496 0.3963 0.9014
Al 0.8504 0.6037 0.0986
Al 0.8963 0.6496 0.4014
Al 0.1037 0.3504 0.5986
Pd 0.6219 0.8781 0.2500
Pd 0.3781 0.1219 0.7500
Cu 0.1217 0.3783 0.2500
Cu 0.3535 0.1067 0.4301
Cu 0.6465 0.8933 0.5699
Cu 0.6067 0.8535 0.9301
Cu 0.8783 0.6217 0.7500
Cu 0.3933 0.1465 0.0699
CELL_PARAMETERS angstrom
3.1707 -0.3180 3.4586
-0.7822 3.0892 3.4586
-0.9313 -1.0805 14.0299

=====

! GGA-PBE Sm3Er4Te8, optimized geometry; values from VASP
! Symmetry: No. 12
! DOS(E_F): 6.73 states/eV/cell
! Uncorrected energy: -0.382 Ry/atom
! Formation energy without anion corrections: -1359 meV/atom
&SYSTEM
  ibrav = 0, nat = 15, ntyp = 3
/
ATOMIC_SPECIES
Sm 150.36 Sm.upf
Er 167.26 Er.upf
Te 127.60 Te.upf
ATOMIC_POSITIONS crystal
Sm 0.5000 0.0000 0.5000
Sm 0.5000 0.5000 0.5000
Sm 0.5000 0.5000 0.0000
Er 0.0000 0.0000 0.0000
Er 0.0000 0.5000 0.0000
Er 0.5000 0.0000 0.0000
Er 0.0000 0.0000 0.5000
Te 0.0000 0.2528 0.7472
Te 0.0000 0.7472 0.2528
Te 0.4948 0.7508 0.7508
Te 0.9933 0.2496 0.2496
Te 0.5000 0.7534 0.2466
Te 0.0067 0.7504 0.7504
Te 0.5000 0.2466 0.7534
Te 0.5052 0.2492 0.2492
CELL_PARAMETERS angstrom
-0.2388 8.4996 -1.9472
-3.0610 -2.7973 7.6792
7.6447 -3.8834 1.6257